# 1
PmYGa | PBE-GGA | optimized geometry

Values from the calculation:
- Space group: No. 216
- Raw total energy: -15.01 eV for the cell shown
- Size of the total moment: 0.0 μB per cell
- Crystal system: cubic
- Energy above the lowest structure with this stoichiometry: 0.000 eV per atom

Cell lengths 5.023, 5.023, 5.023 Å; angles 60.00, 60.00, 60.00 degrees
Fractional positions:
Pm 0.000 0.000 0.000
Y 0.500 0.500 0.500
Ga 0.250 0.250 0.250


# 2
PmZnGa | PBE-GGA | optimized geometry

Values from the calculation:
- Space group: No. 216
- Raw total energy: -8.95 eV for the cell shown
- Size of the total moment: 0.0 μB per cell
- Crystal system: cubic
- Energy above the lowest structure with this stoichiometry: 0.451 eV per atom

Cell lengths 4.801, 4.801, 4.801 Å; angles 60.00, 60.00, 60.00 degrees
Fractional positions:
Pm 0.000 0.000 0.000
Zn 0.250 0.250 0.250
Ga 0.750 0.750 0.750


# 3
PmZn3Ga | PBE-GGA | optimized geometry

Values from the calculation:
- Space group: No. 8
- Raw total energy: -13.69 eV for the cell shown
- Size of the total moment: 0.0 μB per cell
- Crystal system: monoclinic

Cell lengths 4.234, 4.234, 6.047 Å; angles 110.40, 110.40, 89.99 degrees
Fractional positions:
Pm 0.000 0.000 0.000
Zn 0.250 0.752 0.502
Zn 0.619 0.619 0.239
Zn 0.752 0.250 0.502
Ga 0.389 0.389 0.776


# 4
Pm2ZnGa3 | PBE-GGA | optimized geometry

Values from the calculation:
- Space group: No. 69
- Raw total energy: -47.07 eV for the cell shown
- Size of the total moment: 0.0 μB per cell
- Crystal system: orthorhombic

Cell lengths 8.835, 8.563, 5.859 Å; angles 72.85, 67.83, 39.32 degrees
Fractional positions:
Pm 0.250 0.250 0.250
Pm 0.250 0.750 0.750
Pm 0.750 0.250 0.250
Pm 0.750 0.750 0.750
Zn 0.167 0.167 0.833
Zn 0.833 0.833 0.167
Ga 0.166 0.667 0.333
Ga 0.333 0.333 0.667
Ga 0.333 0.834 0.166
Ga 0.667 0.166 0.834
Ga 0.667 0.667 0.333
Ga 0.834 0.333 0.667


# 5
Pm2ZnGa2 | PBE-GGA | optimized geometry

Values from the calculation:
- Space group: No. 12
- Raw total energy: -39.35 eV for the cell shown
- Size of the total moment: 0.7 μB per cell
- Crystal system: monoclinic

Cell lengths 5.850, 5.850, 10.733 Å; angles 115.77, 115.77, 45.32 degrees
Fractional positions:
Pm 0.021 0.021 0.334
Pm 0.183 0.183 0.095
Pm 0.817 0.817 0.905
Pm 0.979 0.979 0.666
Zn 0.272 0.272 0.654
Zn 0.728 0.728 0.346
Ga 0.361 0.361 0.435
Ga 0.486 0.486 0.119
Ga 0.514 0.514 0.881
Ga 0.639 0.639 0.565


# 6
Pm3Zn4Ga2 | PBE-GGA | optimized geometry

Values from the calculation:
- Space group: No. 12
- Raw total energy: -29.77 eV for the cell shown
- Size of the total moment: 0.4 μB per cell
- Crystal system: monoclinic

Cell lengths 5.825, 5.825, 8.637 Å; angles 109.37, 109.37, 45.35 degrees
Fractional positions:
Pm 0.000 0.000 0.000
Pm 0.333 0.333 0.331
Pm 0.667 0.667 0.669
Zn 0.063 0.063 0.397
Zn 0.284 0.284 0.953
Zn 0.716 0.716 0.047
Zn 0.937 0.937 0.603
Ga 0.389 0.389 0.723
Ga 0.611 0.611 0.277


# 7
PmZnGa | PBE-GGA | optimized geometry

Values from the calculation:
- Space group: No. 216
- Raw total energy: -10.31 eV for the cell shown
- Size of the total moment: 0.0 μB per cell
- Crystal system: cubic
- Energy above the lowest structure with this stoichiometry: 0.000 eV per atom

Cell lengths 4.602, 4.602, 4.602 Å; angles 60.00, 60.00, 60.00 degrees
Fractional positions:
Pm 0.000 0.000 0.000
Zn 0.750 0.750 0.750
Ga 0.500 0.500 0.500


# 8
PrGa | PBE-GGA | optimized geometry

Values from the calculation:
- Space group: No. 225
- Raw total energy: -8.32 eV for the cell shown
- Size of the total moment: 0.2 μB per cell
- Crystal system: cubic

Cell lengths 4.379, 4.379, 4.379 Å; angles 60.00, 60.00, 60.00 degrees
Fractional positions:
Pr 0.000 0.000 0.000
Ga 0.500 0.500 0.500


What is the formula in the second record?
PmZnGa


What is the raw total energy in the eighth record?
-8.32 eV for the cell shown


What is the formula in the fourth record?
Pm2ZnGa3